[1]
Compound: RbCu4Se2S
Source: the Alexandria database
Functional: GGA-PBE
Structure: optimized geometry

Output
For the total moment, the calculation gives 0.0 μB/f.u. Its crystal system is orthorhombic. Its density of states at the Fermi level is 25.82 states/eV/cell. The energy comes out at -123.3 eV/cell.

Lattice parameters (Å, degrees): 7.7507 8.3353 11.5371 90.00 90.00 90.00
Space group Fmm2 (No. 42)
One atom of each set of equivalent atoms:
Rb  0.0000  0.0000  0.0000
Cu  0.0000  0.1604  0.3611
Cu  0.1684  0.0000  0.6745
Se  0.2500  0.2500  0.2592
S  0.0000  0.0000  0.5140

[2]
Compound: Tl2AgBiSe4
Source: the Alexandria database
Functional: GGA-PBE
Structure: optimized geometry

Output
For the total moment, the calculation gives 0.0 μB/f.u. Its crystal system is orthorhombic. Its density of states at the Fermi level is 18.59 states/eV/cell. The energy comes out at -110.0 eV/cell.

Lattice parameters (Å, degrees): 8.4246 8.5630 11.9338 90.00 90.00 90.00
Space group Imma (No. 74)
One atom of each set of equivalent atoms:
Tl  0.0000  0.0000  0.0000
Tl  0.2500  0.2500  0.2500
Ag  0.0000  0.0000  0.5000
Bi  0.2500  0.2500  0.7500
Se  0.0000  0.0112  0.7383
Se  0.2336  0.2500  0.5043

[3]
Compound: RbCeThS4
Source: the Alexandria database
Functional: GGA-PBE
Structure: optimized geometry

Output
For the total moment, the calculation gives 1.0 μB/f.u. Its crystal system is orthorhombic. Its density of states at the Fermi level is 27.46 states/eV/cell. The energy comes out at -174.1 eV/cell.

Lattice parameters (Å, degrees): 8.6761 8.7668 12.3033 90.00 90.00 90.00
Space group Imma (No. 74)
One atom of each set of equivalent atoms:
Rb  0.0000  0.2500  0.1231
Ce  0.0000  0.0000  0.5000
Th  0.2500  0.2500  0.7500
S  0.0000  0.0457  0.7340
S  0.2100  0.2500  0.5256

[4]
Compound: SrScZnAg
Source: the Alexandria database
Functional: GGA-PBE
Structure: optimized geometry

Output
For the total moment, the calculation gives 0.0 μB/f.u. Its crystal system is cubic. Its formation enthalpy at 0 K is -0.1060 eV per atom. Its density of states at the Fermi level is 11.66 states/eV/cell.

Lattice parameters (Å, degrees): 7.2998 7.2998 7.2998 90.00 90.00 90.00
Space group F-43m (No. 216)
One atom of each set of equivalent atoms:
Sr  0.0000  0.0000  0.0000
Sc  0.0000  0.0000  0.5000
Zn  0.2500  0.2500  0.2500
Ag  0.2500  0.2500  0.7500

no.,density (g/cm³)
1,4.720
2,8.035
3,4.158
4,5.223